This record from the Alexandria database describes Pm6Co2Cl3O after structural relaxation. The functional is GGA+U.

SG: C2/m
magnetic moment: 0.5 μB per formula unit
E_tot: -0.18931 hartree per atom
volume: 280.5 Å³/cell

```
12
Lattice="3.766 0.000 0.000 0.000 8.523 -0.338 -1.883 -3.120 8.864" Properties=species:S:1:pos:R:3 pbc="T T T"
Pm 1.883 -0.095 2.591
Pm 0.000 1.707 0.059
Pm 1.883 3.595 2.937
Pm 1.883 3.696 8.467
Pm 0.000 1.808 5.589
Pm 0.000 5.498 5.935
Co 1.883 3.674 5.814
Co 0.000 1.729 2.713
Cl 0.000 6.017 2.783
Cl 1.883 -0.614 5.743
Cl 1.883 4.262 -0.169
O 1.883 0.000 0.000
```